Entry 1:
Computed, not measured: a relaxed structure of SmCdAs at the PBE level of DFT.

```
6
Lattice="-1.003 -3.699 3.105 -2.126 -4.122 -1.679 6.540 -5.912 -1.012" Properties=species:S:1:pos:R:3 pbc="T T T"
Sm -0.616 -5.854 0.663
Sm 4.026 -7.878 -0.248
As 0.085 -3.098 0.254
As 3.326 -10.634 0.160
Cd 0.849 -9.554 0.646
Cd 2.562 -4.178 -0.232
```

Summary:
formation energy	-1.967	eV per formula unit
total energy	-4.084	eV/atom

***

Entry 2:
Computed, not measured: a relaxed structure of CsK3Rb2 at the PBE level of DFT.

```
12
Lattice="-9.530 -6.294 -5.099 -1.588 -5.531 7.094 -6.520 6.086 1.973" Properties=species:S:1:pos:R:3 pbc="T T T"
Cs -9.145 -9.286 2.844
Cs -8.493 3.547 1.124
K -6.794 -0.455 2.888
K -10.844 -5.285 1.080
K -14.969 -6.905 1.985
K -6.554 -4.055 0.347
K -11.084 -1.685 3.621
K -2.669 1.165 1.982
Rb -10.233 -0.823 -1.095
Rb -2.995 -3.502 4.023
Rb -14.643 -2.237 -0.055
Rb -7.405 -4.916 5.062
```

Summary:
energy above the lowest structure with this stoichiometry	0.000	eV per atom
formation energy	0.088	eV per formula unit
total energy	-0.999	eV/atom